Here is a relaxed P2HAu crystal from the Alexandria database. Energies are from PBE-GGA.

Results
- N(E_F): 0.001 states/eV per atom
- Excess energy over the best structure of this formula in the dataset: 230 meV per atom
- V: 13.780 A^3/atom

a b c (Å): 6.041 6.041 6.041
angles (deg): 90.00 90.00 90.00
Fractional coordinates of all 16 atoms:
P1 0.250 0.250 0.250
P2 0.250 0.250 0.750
P3 0.250 0.750 0.250
P4 0.250 0.750 0.750
P5 0.750 0.250 0.250
P6 0.750 0.250 0.750
P7 0.750 0.750 0.250
P8 0.750 0.750 0.750
H1 0.000 0.000 0.000
H2 0.000 0.500 0.500
H3 0.500 0.000 0.500
H4 0.500 0.500 0.000
Au1 0.000 0.000 0.500
Au2 0.000 0.500 0.000
Au3 0.500 0.000 0.000
Au4 0.500 0.500 0.500